(1)
Ca2MgPt2 after structural relaxation. Source: Alexandria, functional PBE-GGA.

magnetization = 0.0 μB/cell
density of states at the Fermi level = 2.09 states/eV/cell
VASP energy = -19.87 eV per formula unit
crystal system = tetragonal

a = 4.5992 Å, b = 4.5992 Å, c = 12.0323 Å
α = 90.00°, β = 90.00°, γ = 90.00°
Space group I4/mmm (No. 139)
One atom of each set of equivalent atoms:
Ca: 0.0000 0.5000 0.2500
Mg: 0.0000 0.0000 0.0000
Pt: 0.0000 0.0000 0.3933

(2)
Ca3MgPt after structural relaxation. Source: Alexandria, functional PBE-GGA.

magnetization = 0.0 μB/cell
density of states at the Fermi level = 2.67 states/eV/cell
VASP energy = -15.61 eV per formula unit
crystal system = cubic

a = 5.5810 Å, b = 5.5810 Å, c = 5.5810 Å
α = 90.00°, β = 90.00°, γ = 90.00°
Space group Pm-3m (No. 221)
One atom of each set of equivalent atoms:
Ca: 0.0000 0.0000 0.5000
Mg: 0.5000 0.5000 0.5000
Pt: 0.0000 0.0000 0.0000

(3)
Ca3Mg4Pt4 after structural relaxation. Source: Alexandria, functional PBE-GGA.

magnetization = 0.0 μB/cell
density of states at the Fermi level = 7.74 states/eV/cell
VASP energy = -45.38 eV per formula unit
crystal system = orthorhombic

a = 4.2043 Å, b = 7.8264 Å, c = 14.3936 Å
α = 90.00°, β = 90.00°, γ = 90.00°
Space group Immm (No. 71)
One atom of each set of equivalent atoms:
Ca: 0.0000 0.0000 0.0000
Ca: 0.0000 0.5000 0.1167
Mg: 0.0000 0.3055 0.3270
Pt: 0.0000 0.0000 0.2263
Pt: 0.0000 0.1800 0.5000

Among the records above, which one has the lowest VASP energy? Ca3Mg4Pt4

Which formula does entry 1 have? Ca2MgPt2

Which formula does entry 2 have? Ca3MgPt